# Al2FeTc

Al2FeTc after structural relaxation (PBE, the Alexandria database).

a = 4.2239 Å, b = 4.2239 Å, c = 4.2239 Å
α = 60.00°, β = 60.00°, γ = 60.00°
Last column: nearest neighbours and their distance in Å.
Sites, in units of the cell vectors:
Al 0.2500 0.2500 0.2500  4 Fe 2.59, 4 Tc 2.59
Al 0.7500 0.7500 0.7500  4 Tc 2.59, 4 Fe 2.59
Fe 0.0000 0.0000 0.0000  8 Al 2.59
Tc 0.5000 0.5000 0.5000  8 Al 2.59

The value obtained for the relative energy among the computed polymorphs is 0.49 kcal/mol of atoms. The value obtained for the formation energy is -284 meV per atom. For the density of states at the Fermi level, the calculation gives 1.317 states/eV per atom.

***

# Zr2Al2GeRh5

Zr2Al2GeRh5 after structural relaxation (PBE, the Alexandria database).

a = 9.5494 Å, b = 9.5494 Å, c = 3.4905 Å
α = 90.00°, β = 90.00°, γ = 90.00°
Last column: nearest neighbours and their distance in Å.
Sites, in units of the cell vectors:
Zr 0.1750 0.3250 0.0000  3 Al 2.72-2.89, 6 Rh 2.94-3.03
Zr 0.3250 0.8250 0.0000  3 Al 2.72-2.89, 6 Rh 2.94-3.03
Zr 0.6750 0.1750 0.0000  3 Al 2.72-2.89, 6 Rh 2.94-3.03
Zr 0.8250 0.6750 0.0000  3 Al 2.72-2.89, 6 Rh 2.94-3.03
Al 0.1237 0.6237 0.0000  6 Rh 2.42-2.46
Al 0.3763 0.1237 0.0000  6 Rh 2.42-2.46
Al 0.6237 0.8763 0.0000  6 Rh 2.42-2.46
Al 0.8763 0.3763 0.0000  6 Rh 2.42-2.46
Ge 0.0000 0.0000 0.0000  8 Rh 2.69
Ge 0.5000 0.5000 0.0000  8 Rh 2.69
Rh 0.0000 0.5000 0.5000  4 Al 2.42
Rh 0.0666 0.7966 0.5000  2 Al 2.46, 2 Ge 2.69
Rh 0.2034 0.0666 0.5000  2 Al 2.46, 2 Ge 2.69
Rh 0.2966 0.5666 0.5000  2 Al 2.46, 2 Ge 2.69
Rh 0.4334 0.2966 0.5000  2 Al 2.46, 2 Ge 2.69
Rh 0.5000 0.0000 0.5000  4 Al 2.42
Rh 0.5666 0.7034 0.5000  2 Al 2.46, 2 Ge 2.69
Rh 0.7034 0.4334 0.5000  2 Al 2.46, 2 Ge 2.69
Rh 0.7966 0.9334 0.5000  2 Al 2.46, 2 Ge 2.69
Rh 0.9334 0.2034 0.5000  2 Al 2.46, 2 Ge 2.69

The value obtained for the formation energy is -734 meV per atom. For the density of states at the Fermi level, the calculation gives 0.611 states/eV per atom.

***

# LaMg3Sn3

LaMg3Sn3 after structural relaxation (PBE, the Alexandria database).

a = 8.2519 Å, b = 8.2519 Å, c = 8.2519 Å
α = 62.22°, β = 62.22°, γ = 62.22°
Last column: nearest neighbours and their distance in Å.
Sites, in units of the cell vectors:
La 0.1673 0.1673 0.1673  6 Sn 3.24-3.25, 6 Mg 3.58-3.62
La 0.8327 0.8327 0.8327  6 Sn 3.24-3.25, 6 Mg 3.58-3.62
Mg 0.0416 0.3885 0.7281  4 Sn 2.94-3.11
Mg 0.2719 0.9584 0.6115  4 Sn 2.94-3.11
Mg 0.3885 0.7281 0.0416  4 Sn 2.94-3.11
Mg 0.6115 0.2719 0.9584  4 Sn 2.94-3.11
Mg 0.7281 0.0416 0.3885  4 Sn 2.94-3.11
Mg 0.9584 0.6115 0.2719  4 Sn 2.94-3.11
Sn 0.1254 0.7414 0.4303  4 Mg 2.94-3.11, 2 La 3.24-3.25
Sn 0.2586 0.5697 0.8746  4 Mg 2.94-3.11, 2 La 3.24-3.25
Sn 0.4303 0.1254 0.7414  4 Mg 2.94-3.11, 2 La 3.24-3.25
Sn 0.5697 0.8746 0.2586  4 Mg 2.94-3.11, 2 La 3.24-3.25
Sn 0.7414 0.4303 0.1254  4 Mg 2.94-3.11, 2 La 3.24-3.25
Sn 0.8746 0.2586 0.5697  4 Mg 2.94-3.11, 2 La 3.24-3.25

The value obtained for the relative energy among the computed polymorphs is 0.00 kcal/mol of atoms. The value obtained for the formation energy is -196 meV per atom. For the density of states at the Fermi level, the calculation gives 0.494 states/eV per atom.

***

# Pa2Co5Si4

Pa2Co5Si4 after structural relaxation (PBE, the Alexandria database).

a = 8.0129 Å, b = 7.1410 Å, c = 5.2380 Å
α = 79.04°, β = 61.04°, γ = 39.92°
Last column: nearest neighbours and their distance in Å.
Sites, in units of the cell vectors:
Pa 0.1382 0.1382 0.8618  8 Si 2.98-3.31, 10 Co 3.01-3.23
Pa 0.8618 0.8618 0.1382  8 Si 2.98-3.31, 10 Co 3.01-3.23
Co 0.0000 0.0000 0.5000  4 Si 2.39, 4 Co 2.62-2.67
Co 0.2500 0.2500 0.2500  4 Si 2.24
Co 0.5000 0.5000 0.0000  4 Si 2.39, 4 Co 2.62-2.67
Co 0.5000 0.5000 0.5000  4 Si 2.21
Co 0.7500 0.7500 0.7500  4 Si 2.24
Si 0.2186 0.5150 0.4850  5 Co 2.21-2.39
Si 0.4850 0.7814 0.2186  5 Co 2.21-2.39
Si 0.5150 0.2186 0.7814  5 Co 2.21-2.39
Si 0.7814 0.4850 0.5150  5 Co 2.21-2.39

The calculation puts the uncorrected formation energy at -642 kJ/mol of formula units. For the density of states at the Fermi level, the calculation gives 0.741 states/eV per atom.

***

# LiH2Pb

LiH2Pb after structural relaxation (PBE, the Alexandria database).

a = 3.2268 Å, b = 6.0552 Å, c = 7.0709 Å
α = 66.27°, β = 79.92°, γ = 86.25°
Last column: nearest neighbours and their distance in Å.
Sites, in units of the cell vectors:
Li 0.0000 0.0000 0.0000  2 H 1.82-2.00
Li 0.3276 0.3439 0.1443  3 H 1.86-2.00
H 0.0912 0.6672 0.9848  2 Li 2.00-2.06, 1 Pb 2.00, 1 H 2.20
H 0.4465 0.7821 0.1690  1 H 0.77
H 0.4531 0.8949 0.1937  1 H 0.77
H 0.8489 0.1823 0.1514  3 Li 1.82-1.89
Pb 0.1672 0.7578 0.6751  1 H 2.00
Pb 0.6742 0.2988 0.5754  4 Li 3.14-3.33, 5 Pb 3.23-3.51, 2 H 3.30-3.32

The value obtained for the relative energy among the computed polymorphs is 1.99 kcal/mol of atoms. For the density of states at the Fermi level, the calculation gives 0.136 states/eV per atom.

***

# RbNa3O

RbNa3O after structural relaxation (PBE, the Alexandria database).

a = 6.4149 Å, b = 6.4149 Å, c = 6.4149 Å
α = 90.00°, β = 90.00°, γ = 90.00°
Last column: nearest neighbours and their distance in Å.
Sites, in units of the cell vectors:
Rb 0.0000 0.0000 0.0000  6 Na 3.21
Na 0.0000 0.0000 0.5000  2 Rb 3.21
Na 0.0000 0.5000 0.0000  2 Rb 3.21
Na 0.5000 0.0000 0.0000  2 Rb 3.21
O 0.5000 0.5000 0.5000  12 Na 4.54

The value obtained for the relative energy among the computed polymorphs is 33.97 kcal/mol of atoms. The calculation puts the uncorrected formation energy at 411 kJ/mol of formula units. For the density of states at the Fermi level, the calculation gives 0.210 states/eV per atom.

***

# CaTl3Au

CaTl3Au after structural relaxation (PBE, the Alexandria database).

a = 5.9893 Å, b = 5.9893 Å, c = 5.9893 Å
α = 90.00°, β = 90.00°, γ = 90.00°
Last column: nearest neighbours and their distance in Å.
Sites, in units of the cell vectors:
Ca 0.0000 0.0000 0.0000  6 Tl 2.99
Tl 0.0000 0.0000 0.5000  2 Ca 2.99
Tl 0.0000 0.5000 0.0000  2 Ca 2.99
Tl 0.5000 0.0000 0.0000  2 Ca 2.99
Au 0.5000 0.5000 0.5000  12 Tl 4.24

The value obtained for the relative energy among the computed polymorphs is 13.20 kcal/mol of atoms. The value obtained for the formation energy is 641 meV per atom. For the density of states at the Fermi level, the calculation gives 1.548 states/eV per atom.

***

# Hg2TeBr

Hg2TeBr after structural relaxation (PBE, the Alexandria database).

a = 3.6341 Å, b = 4.9031 Å, c = 6.7117 Å
α = 90.00°, β = 90.00°, γ = 90.00°
Last column: nearest neighbours and their distance in Å.
Sites, in units of the cell vectors:
Hg 0.0000 0.0000 0.0000  4 Hg 3.05
Hg 0.5000 0.5000 0.0000  4 Hg 3.05
Te 0.0000 0.5000 0.5000  4 Br 3.05
Br 0.5000 0.0000 0.5000  4 Te 3.05

The value obtained for the relative energy among the computed polymorphs is 7.92 kcal/mol of atoms. The calculation puts the uncorrected formation energy at 34 kJ/mol of formula units. For the density of states at the Fermi level, the calculation gives 0.851 states/eV per atom.

***

# SiBTe2N

SiBTe2N after structural relaxation (PBE, the Alexandria database).

a = 5.6330 Å, b = 5.6330 Å, c = 3.2303 Å
α = 90.00°, β = 90.00°, γ = 90.00°
Last column: nearest neighbours and their distance in Å.
Sites, in units of the cell vectors:
Si 0.0000 0.0000 0.0000  2 N 1.62
B 0.5000 0.5000 0.5000  2 B 3.23, 8 Te 3.25
Te 0.0000 0.5000 0.0000  2 Si 2.82
Te 0.5000 0.0000 0.0000  2 Si 2.82
N 0.0000 0.0000 0.5000  2 Si 1.62

The value obtained for the relative energy among the computed polymorphs is 14.31 kcal/mol of atoms. The calculation puts the uncorrected formation energy at 476 kJ/mol of formula units. For the density of states at the Fermi level, the calculation gives 0.266 states/eV per atom.

***

# Cr3SeN

Cr3SeN after structural relaxation (PBE, the Alexandria database).

a = 3.8847 Å, b = 3.8847 Å, c = 3.8847 Å
α = 90.00°, β = 90.00°, γ = 90.00°
Last column: nearest neighbours and their distance in Å.
Sites, in units of the cell vectors:
Cr 0.0000 0.0000 0.5000  2 N 1.94
Cr 0.0000 0.5000 0.0000  2 N 1.94
Cr 0.5000 0.0000 0.0000  2 N 1.94
Se 0.5000 0.5000 0.5000  12 Cr 2.75
N 0.0000 0.0000 0.0000  6 Cr 1.94

The value obtained for the relative energy among the computed polymorphs is 0.00 kcal/mol of atoms. The calculation puts the uncorrected formation energy at -8 kJ/mol of formula units. For the density of states at the Fermi level, the calculation gives 0.770 states/eV per atom.

***

# SrNi2Hg

SrNi2Hg after structural relaxation (PBE, the Alexandria database).

a = 4.4526 Å, b = 4.4526 Å, c = 5.7210 Å
α = 112.69°, β = 112.69°, γ = 59.89°
Last column: nearest neighbours and their distance in Å.
Sites, in units of the cell vectors:
Sr 0.0000 0.0000 0.0000  2 Ni 2.85
Ni 0.1856 0.1856 0.5559  3 Hg 2.58-2.59, 3 Ni 2.63-2.64, 1 Sr 2.85
Ni 0.8144 0.8144 0.4441  3 Hg 2.58-2.59, 3 Ni 2.63-2.64, 1 Sr 2.85
Hg 0.5000 0.5000 0.5000  6 Ni 2.58-2.59

The value obtained for the formation energy is -92 meV per atom. For the density of states at the Fermi level, the calculation gives 0.706 states/eV per atom.

***

# Sc2SbAu

Sc2SbAu after structural relaxation (PBE, the Alexandria database).

a = 9.7917 Å, b = 9.7917 Å, c = 9.7917 Å
α = 19.87°, β = 19.87°, γ = 19.87°
Last column: nearest neighbours and their distance in Å.
Sites, in units of the cell vectors:
Sc 0.0000 0.0000 0.0000  3 Au 2.78
Sc 0.2420 0.2420 0.2420  3 Sb 3.11, 9 Sc 3.27-3.38
Sb 0.4911 0.4911 0.4911  3 Sc 3.11, 3 Au 3.22, 6 Sb 3.38
Au 0.7356 0.7356 0.7356  3 Sc 2.78

The calculation puts the uncorrected formation energy at -101 kJ/mol of formula units. For the density of states at the Fermi level, the calculation gives 0.522 states/eV per atom.